(1)
Compound: Li2YSn
Source: Alexandria
Functional: GGA-PBE
Structure: relaxed

```
Li2YSn
1.0
4.370 0.000 0.000
0.000 4.370 0.000
2.185 2.185 10.382
Y Sn Li
2 2 4
direct
0.500 0.500 0.000
0.250 0.750 0.500
0.000 0.000 0.000
0.750 0.250 0.500
0.696 0.125 0.250
0.054 0.625 0.250
0.375 0.304 0.750
0.875 0.946 0.750
```

## Properties
E_tot in eV for the cell shown: -30.2
Space-group type: I-42d (122)

=====

(2)
Compound: NaCu2H2
Source: Alexandria
Functional: GGA-PBE
Structure: relaxed

```
NaCu2H2
1.0
-2.700 -1.329 -1.726
2.118 -2.246 -1.583
-1.079 -5.314 2.294
Na Cu H
1 2 2
direct
0.000 0.000 0.000
0.280 0.280 0.440
0.720 0.720 0.560
0.750 0.250 0.500
0.250 0.750 0.500
```

## Properties
Distance to the lowest polymorph of the same formula in eV/atom: 0.000
Space-group type: I4/mmm (139)

=====

(3)
Compound: CuBiI2
Source: Alexandria
Functional: GGA-PBE
Structure: relaxed

```
CuBiI2
1.0
0.000 3.860 3.860
3.860 0.000 3.860
3.860 3.860 0.000
I Bi Cu
2 1 1
direct
0.250 0.250 0.250
0.750 0.750 0.750
0.500 0.500 0.500
0.000 0.000 0.000
```

## Properties
Formation energy (no corrections) in eV per atom: 0.4635
Distance to the lowest polymorph of the same formula in eV/atom: 0.460
Space-group type: Fm-3m (225)

=====

(4)
Compound: TeP2ClF
Source: Alexandria
Functional: GGA-PBE
Structure: relaxed

```
TeP2ClF
1.0
-5.036 1.069 0.892
-0.157 -3.764 3.621
1.379 3.451 3.647
P F Te Cl
2 1 1 1
direct
0.000 0.500 0.000
0.500 0.000 0.000
0.500 0.500 0.500
0.000 0.000 0.000
0.000 0.000 0.500
```

## Properties
Formation energy (no corrections) in eV per atom: 0.7630
Distance to the lowest polymorph of the same formula in eV/atom: 0.244
Space-group type: P4/mmm (123)

=====

(5)
Compound: Ca2Re
Source: Alexandria
Functional: GGA-PBE
Structure: relaxed

```
Ca2Re
1.0
1.456 -8.733 0.000
1.456 8.733 0.000
0.000 0.000 5.362
Ca Re
4 2
direct
0.784 0.216 0.750
0.456 0.544 0.750
0.216 0.784 0.250
0.544 0.456 0.250
0.123 0.877 0.750
0.877 0.123 0.250
```

## Properties
Distance to the lowest polymorph of the same formula in eV/atom: 0.369
Space-group type: Cmcm (63)

=====

(6)
Compound: HfTi4Bi3
Source: Alexandria
Functional: GGA-PBE
Structure: relaxed

```
HfTi4Bi3
1.0
-2.345 0.511 2.191
-0.142 -8.657 1.867
5.466 4.930 2.290
Hf Ti Bi
1 4 3
direct
0.500 0.000 0.000
0.369 0.604 0.738
0.631 0.396 0.262
0.626 0.860 0.253
0.374 0.140 0.747
0.000 0.500 0.000
0.210 0.208 0.421
0.790 0.792 0.579
```

## Properties
E_tot in eV for the cell shown: -52.2
Space-group type: C2/m (12)

=====

Calculated volume for the records above, in order: 198, 64, 115, 142, 136, 176 Å³/cell